Version 1
First-principles (PBE) data for crystalline SnAsPdO at its relaxed geometry, as listed in the Open Quantum Materials Database.

a b c (Å): 4.3652 4.3652 8.2102
angles (deg): 90.00 90.00 90.00
Sites, in units of the cell vectors:
Sn 0.2500 0.7500 0.0000
Sn 0.7500 0.2500 0.0000
As 0.2500 0.2500 0.2248
As 0.7500 0.7500 0.7752
Pd 0.2500 0.2500 0.5314
Pd 0.7500 0.7500 0.4686
O 0.2500 0.7500 0.5000
O 0.7500 0.2500 0.5000

Crystal system = tetragonal

***

Version 2
First-principles (PBE) data for crystalline SnAsPdO at its relaxed geometry, as listed in the Open Quantum Materials Database.

a b c (Å): 4.1614 6.8831 5.5059
angles (deg): 90.00 90.00 90.00
Sites, in units of the cell vectors:
Sn 0.0000 0.1951 0.0000
Sn 0.0000 0.8049 0.5000
As 0.5000 0.3730 0.7694
As 0.5000 0.6270 0.2694
Pd 0.5000 0.2821 0.3338
Pd 0.5000 0.7179 0.8338
O 0.0000 0.0752 0.3468
O 0.0000 0.9248 0.8468

Crystal system = orthorhombic

***

The most stable of them is version 2.

***

Version 1
First-principles (PBE) data for crystalline TaAsPdO at its relaxed geometry, as listed in the Open Quantum Materials Database.

a b c (Å): 3.5525 5.9176 7.0051
angles (deg): 90.00 90.00 90.00
Sites, in units of the cell vectors:
Ta 0.0000 0.0445 0.0000
Ta 0.0000 0.9555 0.5000
As 0.5000 0.3082 0.8460
As 0.5000 0.6918 0.3460
Pd 0.5000 0.2992 0.5025
Pd 0.5000 0.7008 0.0025
O 0.0000 0.1468 0.2537
O 0.0000 0.8532 0.7537

Crystal system = orthorhombic

***

Version 2
First-principles (PBE) data for crystalline TaAsPdO at its relaxed geometry, as listed in the Open Quantum Materials Database.

a b c (Å): 4.9556 4.9556 4.7654
angles (deg): 90.00 90.00 90.00
Sites, in units of the cell vectors:
Ta 0.2500 0.7500 0.0000
Ta 0.7500 0.2500 0.0000
As 0.2500 0.2500 0.1707
As 0.7500 0.7500 0.8293
Pd 0.2500 0.2500 0.6716
Pd 0.7500 0.7500 0.3284
O 0.2500 0.7500 0.5000
O 0.7500 0.2500 0.5000

Crystal system = tetragonal

***

The most stable of them is version 1.